[1]
A relaxed structure of Ho5Ru2O12. Source: the Alexandria database, functional PBE.

Formation energy without anion corrections   -5010 kJ/mol of formula units

Unit cell a=6.813 b=6.813 c=7.361 alpha=105.83 beta=105.83 gamma=50.47
Fractional positions:
Ho: 0.000 0.000 0.000
Ho: 0.302 0.302 0.139
Ho: 0.311 0.311 0.673
Ho: 0.689 0.689 0.327
Ho: 0.698 0.698 0.861
Ru: 0.236 0.764 0.500
Ru: 0.764 0.236 0.500
O: 0.000 0.000 0.304
O: 0.000 0.000 0.696
O: 0.094 0.575 0.416
O: 0.098 0.595 0.926
O: 0.405 0.902 0.074
O: 0.425 0.906 0.584
O: 0.500 0.500 0.314
O: 0.500 0.500 0.686
O: 0.575 0.094 0.416
O: 0.595 0.098 0.926
O: 0.902 0.405 0.074
O: 0.906 0.425 0.584

[2]
A relaxed structure of Sm3IrPt. Source: the Alexandria database, functional PBE.

Calculated formation energy   -0.716 eV per atom

Unit cell a=8.572 b=3.970 c=8.594 alpha=90.00 beta=109.23 gamma=90.00
Fractional positions:
Sm: 0.000 0.000 0.000
Sm: 0.054 0.500 0.585
Sm: 0.346 0.500 0.291
Sm: 0.407 0.000 0.892
Sm: 0.650 0.000 0.645
Sm: 0.761 0.000 0.241
Ir: 0.201 0.500 0.937
Ir: 0.699 0.500 0.441
Pt: 0.143 0.000 0.381
Pt: 0.699 0.500 0.938